No. 1
Material: LiZnInCl4
Method: DFT, GGA-PBE
State: relaxed

Lattice parameters (Å, degrees): 6.3066 7.0984 8.5931 90.00 104.00 90.00
Atoms (fractional coordinates):
Li1 0.8652 0.7500 0.5043
Li2 0.1348 0.2500 0.4957
Zn1 0.2467 0.7500 0.3194
Zn2 0.7533 0.2500 0.6806
In1 0.7699 0.7500 0.9600
In2 0.2301 0.2500 0.0400
Cl1 0.0156 0.4887 0.7021
Cl2 0.9844 0.9887 0.2979
Cl3 0.9844 0.5113 0.2979
Cl4 0.0156 0.0113 0.7021
Cl5 0.3431 0.7500 0.0810
Cl6 0.6569 0.2500 0.9190
Cl7 0.5048 0.7500 0.5493
Cl8 0.4952 0.2500 0.4507

Computed properties:
**E_tot**: -3.120 eV/atom

No. 2
Material: SrAcTlGe
Method: DFT, GGA-PBE
State: relaxed

Lattice parameters (Å, degrees): 4.8298 4.5125 6.5552 90.00 111.62 90.00
Atoms (fractional coordinates):
Sr1 0.1399 0.0000 0.2797
Ac1 0.8637 0.5000 0.7274
Tl1 0.5777 0.5000 0.1555
Ge1 0.4187 0.0000 0.8374

Computed properties:
**Energy of formation**: -0.515 eV/atom

Listing size of the total moment for the structures above in their given order: 0.00 0.00 Bohr magnetons per cell.